# 1
IrRu3 at its PBEsol-relaxed geometry, computed with SCAN.

magnetic moment	0.00	μB/atom
volume	13.50	Å³/atom
theoretical density	15.232	g/cm3
formation energy from the elements	0.02	eV per atom
SG	No. 65

a b c (Å): 2.670 4.632 4.632
angles (deg): 109.49 90.00 90.00
Atoms (fractional coordinates):
Ru (0.000, 0.500, 0.500)
Ru (0.500, 0.000, 0.500)
Ru (0.500, 0.500, 0.000)
Ir (0.000, 0.000, 0.000)

---

# 2
Y3SbO7 at its PBEsol-relaxed geometry, computed with SCAN.

magnetic moment	0.00	μB/atom
volume	13.06	Å³/atom
theoretical density	5.783	g/cm3
formation energy without anion corrections	-3.29	eV/atom
SG	No. 63

a b c (Å): 6.400 6.400 7.445
angles (deg): 90.00 90.00 109.53
Atoms (fractional coordinates):
Y (0.500, 0.500, 0.500)
Y (0.000, 0.532, 0.250)
Y (0.532, 0.000, 0.750)
Y (0.468, 0.000, 0.250)
Y (0.500, 0.500, 0.000)
Y (0.000, 0.468, 0.750)
O (0.637, 0.363, 0.750)
O (0.324, 0.074, 0.970)
O (0.926, 0.676, 0.970)
O (0.074, 0.324, 0.030)
O (0.324, 0.074, 0.530)
O (0.370, 0.630, 0.750)
O (0.926, 0.676, 0.530)
O (0.071, 0.929, 0.250)
O (0.676, 0.926, 0.470)
O (0.363, 0.637, 0.250)
O (0.676, 0.926, 0.030)
O (0.929, 0.071, 0.750)
O (0.074, 0.324, 0.470)
O (0.630, 0.370, 0.250)
Sb (0.000, 0.000, 0.000)
Sb (0.000, 0.000, 0.500)

---

# 3
AgGe3S at its PBEsol-relaxed geometry, computed with SCAN.

magnetic moment	0.00	μB/atom
volume	23.31	Å³/atom
theoretical density	5.099	g/cm3
formation energy without anion corrections	0.84	eV/atom
SG	No. 221

a b c (Å): 4.884 4.884 4.884
angles (deg): 90.00 90.00 90.00
Atoms (fractional coordinates):
Ge (0.000, 0.500, 0.000)
Ge (0.000, 0.000, 0.500)
Ge (0.500, 0.000, 0.000)
S (0.500, 0.500, 0.500)
Ag (0.000, 0.000, 0.000)

---

# 4
SnRu2Se at its PBEsol-relaxed geometry, computed with SCAN.

magnetic moment	0.00	μB/atom
volume	15.72	Å³/atom
theoretical density	10.557	g/cm3
formation energy without anion corrections	0.35	eV/atom
SG	No. 225

a b c (Å): 4.464 4.464 4.464
angles (deg): 60.00 60.00 60.00
Atoms (fractional coordinates):
Sn (0.500, 0.500, 0.500)
Ru (0.750, 0.750, 0.750)
Ru (0.250, 0.250, 0.250)
Se (0.000, 0.000, 0.000)

---

# 5
La2Cu2Sb at its PBEsol-relaxed geometry, computed with SCAN.

magnetic moment	0.00	μB/atom
volume	24.28	Å³/atom
theoretical density	7.204	g/cm3
formation energy without anion corrections	-0.36	eV/atom
SG	No. 139

a b c (Å): 5.500 5.500 5.500
angles (deg): 93.99 117.73 117.73
Atoms (fractional coordinates):
La (0.500, 0.750, 0.250)
La (0.500, 0.250, 0.750)
Sb (0.000, 0.000, 0.000)
Cu (0.000, 0.352, 0.352)
Cu (0.000, 0.648, 0.648)

---

# 6
MnAgO2 at its PBEsol-relaxed geometry, computed with SCAN.

magnetic moment	1.00	μB/atom
volume	12.19	Å³/atom
theoretical density	6.637	g/cm3
formation energy without anion corrections	-1.47	eV/atom
SG	No. 63

a b c (Å): 2.888 3.086 12.373
angles (deg): 90.00 90.00 117.90
Last column: magnetic moment on the atom in μB.
Atoms (fractional coordinates):
O (0.645, 0.290, 0.082)  0.06
O (0.645, 0.290, 0.418)  0.06
O (0.355, 0.710, 0.582)  0.06
O (0.355, 0.710, 0.918)  0.06
Mn (0.000, 0.000, 0.500)  3.72
Mn (0.000, 0.000, 0.000)  3.72
Ag (0.634, 0.269, 0.250)  0.04
Ag (0.366, 0.731, 0.750)  0.04

---

# 7
Co2Ir at its PBEsol-relaxed geometry, computed with SCAN.

magnetic moment	1.48	μB/atom
volume	11.84	Å³/atom
theoretical density	14.497	g/cm3
formation energy from the elements	0.04	eV per atom
energy relative to the lowest polymorph listed for this composition	27.6	meV/atom
SG	No. 191

a b c (Å): 2.556 4.005 4.005
angles (deg): 120.00 90.00 90.00
Last column: magnetic moment on the atom in μB.
Atoms (fractional coordinates):
Co (0.000, 0.667, 0.333)  1.97
Co (0.000, 0.333, 0.667)  1.97
Ir (0.500, 0.000, 0.000)  0.55

---

# 8
Sr2InBr5 at its PBEsol-relaxed geometry, computed with SCAN.

magnetic moment	0.00	μB/atom
volume	30.93	Å³/atom
theoretical density	4.628	g/cm3
formation energy without anion corrections	-1.95	eV/atom
SG	No. 14

a b c (Å): 8.198 9.191 13.137
angles (deg): 90.13 90.00 90.00
Atoms (fractional coordinates):
Br (0.336, 0.039, 0.904)
Br (0.166, 0.278, 0.685)
Br (0.836, 0.542, 0.598)
Br (0.042, 0.723, 0.998)
Br (0.164, 0.039, 0.404)
Br (0.692, 0.268, 0.781)
Br (0.192, 0.732, 0.719)
Br (0.308, 0.732, 0.219)
Br (0.164, 0.458, 0.402)
Br (0.458, 0.723, 0.498)
Br (0.834, 0.722, 0.315)
Br (0.334, 0.278, 0.185)
Br (0.836, 0.961, 0.596)
Br (0.336, 0.458, 0.902)
Br (0.666, 0.722, 0.815)
Br (0.958, 0.277, 0.002)
Br (0.808, 0.268, 0.281)
Br (0.664, 0.542, 0.098)
Br (0.664, 0.961, 0.096)
Br (0.542, 0.277, 0.502)
Sr (0.925, 0.249, 0.506)
Sr (0.575, 0.249, 0.006)
Sr (0.528, 0.499, 0.322)
Sr (0.425, 0.751, 0.994)
Sr (0.075, 0.751, 0.494)
Sr (0.472, 0.501, 0.678)
Sr (0.028, 0.501, 0.178)
Sr (0.972, 0.499, 0.822)
In (0.525, 0.997, 0.327)
In (0.475, 0.003, 0.673)
In (0.975, 0.997, 0.827)
In (0.025, 0.003, 0.173)

---

# 9
ZnCu2HgW at its PBEsol-relaxed geometry, computed with SCAN.

magnetic moment	0.00	μB/atom
volume	16.85	Å³/atom
theoretical density	11.369	g/cm3
formation energy from the elements	1.50	eV per atom
SG	No. 123

a b c (Å): 4.270 4.270 4.622
angles (deg): 90.00 90.00 90.00
Atoms (fractional coordinates):
Zn (0.000, 0.000, 0.000)
W (0.500, 0.500, 0.500)
Hg (0.000, 0.000, 0.500)
Cu (0.000, 0.500, 0.000)
Cu (0.500, 0.000, 0.000)

---

# 10
NaAsBr3 at its PBEsol-relaxed geometry, computed with SCAN.

magnetic moment	0.20	μB/atom
volume	27.81	Å³/atom
theoretical density	4.031	g/cm3
formation energy without anion corrections	0.04	eV/atom
SG	No. 221

a b c (Å): 5.181 5.181 5.181
angles (deg): 90.00 90.00 90.00
Last column: magnetic moment on the atom in μB.
Atoms (fractional coordinates):
Br (0.500, 0.000, 0.000)  -0.10
Br (0.000, 0.500, 0.000)  -0.10
Br (0.000, 0.000, 0.500)  -0.10
Na (0.000, 0.000, 0.000)  0.00
As (0.500, 0.500, 0.500)  0.69

---

# 11
NaFeN2 at its PBEsol-relaxed geometry, computed with SCAN.

magnetic moment	0.73	μB/atom
volume	11.30	Å³/atom
theoretical density	3.924	g/cm3
formation energy without anion corrections	0.29	eV/atom
energy relative to the lowest polymorph listed for this composition	370.6	meV/atom
SG	No. 166

a b c (Å): 2.851 2.851 6.632
angles (deg): 77.59 77.59 60.00
Last column: magnetic moment on the atom in μB.
Atoms (fractional coordinates):
Fe (0.500, 0.500, 0.500)  2.47
N (0.886, 0.886, 0.342)  0.16
N (0.114, 0.114, 0.658)  0.16
Na (0.000, 0.000, 0.000)  0.01

---

# 12
TiGeAs3 at its PBEsol-relaxed geometry, computed with SCAN.

magnetic moment	0.27	μB/atom
volume	22.02	Å³/atom
theoretical density	5.208	g/cm3
formation energy from the elements	0.79	eV per atom
SG	No. 221

a b c (Å): 4.793 4.793 4.793
angles (deg): 90.00 90.00 90.00
Last column: magnetic moment on the atom in μB.
Atoms (fractional coordinates):
As (0.000, 0.500, 0.000)  -0.13
As (0.000, 0.000, 0.500)  -0.13
As (0.500, 0.000, 0.000)  -0.13
Ge (0.000, 0.000, 0.000)  0.00
Ti (0.500, 0.500, 0.500)  1.69

---

# 13
CdBSI2 at its PBEsol-relaxed geometry, computed with SCAN.

magnetic moment	0.19	μB/atom
volume	32.34	Å³/atom
theoretical density	4.202	g/cm3
formation energy without anion corrections	1.07	eV/atom
SG	No. 123

a b c (Å): 4.820 5.792 5.792
angles (deg): 90.00 90.00 90.00
Last column: magnetic moment on the atom in μB.
Atoms (fractional coordinates):
I (0.000, 0.000, 0.500)  0.09
I (0.000, 0.500, 0.000)  0.09
Cd (0.000, 0.000, 0.000)  0.01
B (0.500, 0.500, 0.500)  -0.02
S (0.500, 0.000, 0.000)  0.46

---

# 14
HoBeCu4 at its PBEsol-relaxed geometry, computed with SCAN.

magnetic moment	0.00	μB/atom
volume	13.56	Å³/atom
theoretical density	8.738	g/cm3
formation energy from the elements	-0.21	eV per atom
SG	No. 187

a b c (Å): 3.795 4.976 4.976
angles (deg): 120.00 90.00 90.00
Atoms (fractional coordinates):
Cu (0.000, 0.667, 0.333)
Cu (0.500, 0.837, 0.163)
Cu (0.500, 0.325, 0.163)
Cu (0.500, 0.837, 0.675)
Be (0.000, 0.000, 0.000)
Ho (0.000, 0.333, 0.667)

---

# 15
LiLa2Br at its PBEsol-relaxed geometry, computed with SCAN.

magnetic moment	0.00	μB/atom
volume	29.69	Å³/atom
theoretical density	5.100	g/cm3
formation energy without anion corrections	-0.56	eV/atom
energy relative to the lowest polymorph listed for this composition	103.9	meV/atom
SG	No. 12

a b c (Å): 4.573 4.593 7.028
angles (deg): 108.91 90.00 119.86
Atoms (fractional coordinates):
La (0.239, 0.477, 0.216)
La (0.761, 0.523, 0.784)
Li (0.000, 0.000, 0.500)
Br (0.500, 0.000, 0.000)

---

# 16
NiTeAs at its PBEsol-relaxed geometry, computed with SCAN.

magnetic moment	0.00	μB/atom
volume	18.89	Å³/atom
theoretical density	7.653	g/cm3
formation energy without anion corrections	0.13	eV/atom
SG	No. 42

a b c (Å): 3.139 3.139 6.208
angles (deg): 101.49 101.49 102.26
Atoms (fractional coordinates):
Te (0.303, 0.303, 0.606)
Ni (0.652, 0.652, 0.305)
As (0.045, 0.045, 0.089)

---

# 17
FeHg2B at its PBEsol-relaxed geometry, computed with SCAN.

magnetic moment	0.63	μB/atom
volume	15.36	Å³/atom
theoretical density	12.644	g/cm3
formation energy from the elements	1.18	eV per atom
SG	No. 225

a b c (Å): 4.429 4.429 4.429
angles (deg): 60.00 60.00 60.00
Last column: magnetic moment on the atom in μB.
Atoms (fractional coordinates):
Hg (0.750, 0.750, 0.750)  -0.05
Hg (0.250, 0.250, 0.250)  -0.05
Fe (0.500, 0.500, 0.500)  2.63
B (0.000, 0.000, 0.000)  -0.01

---

# 18
Cs2VAgS4 at its PBEsol-relaxed geometry, computed with SCAN.

magnetic moment	0.00	μB/atom
volume	29.69	Å³/atom
theoretical density	3.865	g/cm3
formation energy without anion corrections	-1.15	eV/atom
SG	No. 70

a b c (Å): 5.715 7.519 12.289
angles (deg): 84.93 76.55 67.66
Atoms (fractional coordinates):
S (0.003, 0.686, 0.393)
S (0.747, 0.814, 0.107)
S (0.439, 0.814, 0.893)
S (0.668, 0.186, 0.893)
S (0.147, 0.186, 0.107)
S (0.082, 0.314, 0.607)
S (0.311, 0.686, 0.607)
S (0.603, 0.314, 0.393)
Ag (0.750, 0.500, 0.500)
Ag (0.000, 0.000, 0.000)
Cs (0.680, 0.000, 0.641)
Cs (0.070, 0.500, 0.859)
Cs (0.430, 0.500, 0.141)
Cs (0.320, 0.000, 0.359)
V (0.500, 0.000, 0.000)
V (0.250, 0.500, 0.500)

---

# 19
Ge3Rh2S3 at its PBEsol-relaxed geometry, computed with SCAN.

magnetic moment	0.00	μB/atom
volume	17.53	Å³/atom
theoretical density	6.156	g/cm3
formation energy without anion corrections	-0.64	eV/atom
SG	No. 148

a b c (Å): 8.247 8.247 8.247
angles (deg): 89.85 89.85 89.85
Atoms (fractional coordinates):
Ge (0.646, 0.157, 0.503)
Ge (0.843, 0.497, 0.354)
Ge (0.503, 0.646, 0.157)
Ge (0.855, 0.658, 0.002)
Ge (0.002, 0.855, 0.658)
Ge (0.998, 0.145, 0.342)
Ge (0.658, 0.002, 0.855)
Ge (0.354, 0.843, 0.497)
Ge (0.145, 0.342, 0.998)
Ge (0.157, 0.503, 0.646)
Ge (0.497, 0.354, 0.843)
Ge (0.342, 0.998, 0.145)
S (0.642, 0.854, 0.503)
S (0.999, 0.143, 0.646)
S (0.146, 0.497, 0.358)
S (0.358, 0.146, 0.497)
S (0.503, 0.642, 0.854)
S (0.001, 0.857, 0.354)
S (0.497, 0.358, 0.146)
S (0.646, 0.999, 0.143)
S (0.857, 0.354, 0.001)
S (0.854, 0.503, 0.642)
S (0.143, 0.646, 0.999)
S (0.354, 0.001, 0.857)
Rh (0.246, 0.745, 0.246)
Rh (0.253, 0.253, 0.253)
Rh (0.754, 0.255, 0.754)
Rh (0.255, 0.754, 0.754)
Rh (0.747, 0.747, 0.747)
Rh (0.745, 0.246, 0.246)
Rh (0.246, 0.246, 0.745)
Rh (0.754, 0.754, 0.255)

---

# 20
Ba2TaTl at its PBEsol-relaxed geometry, computed with SCAN.

magnetic moment	0.67	μB/atom
volume	31.54	Å³/atom
theoretical density	8.686	g/cm3
formation energy from the elements	0.73	eV per atom
energy relative to the lowest polymorph listed for this composition	58.1	meV/atom
SG	No. 65

a b c (Å): 3.454 6.044 6.044
angles (deg): 90.07 90.00 90.00
Last column: magnetic moment on the atom in μB.
Atoms (fractional coordinates):
Tl (0.500, 0.500, 0.500)  -0.03
Ba (0.000, 0.500, 0.000)  0.09
Ba (0.000, 0.000, 0.500)  0.09
Ta (0.500, 0.000, 0.000)  1.50